# 1
# NbSi2I, optimized geometry, DFT GGA-PBE
data_NbSi2I
_chemical_formula_sum 'Nb4 Si8 I4'
_space_group_name_H-M_alt 'I -4 2 d'
_space_group_IT_number 122
_space_group_name_Hall 'I -4 2bw'
_cell_length_a 6.300
_cell_length_b 6.300
_cell_length_c 12.218
_cell_angle_alpha 90.00
_cell_angle_beta 90.00
_cell_angle_gamma 90.00
loop_
_atom_site_label
_atom_site_type_symbol
_atom_site_fract_x
_atom_site_fract_y
_atom_site_fract_z
Nb1 Nb 0.000 0.000 0.000
Si1 Si 0.186 0.250 0.125
I1 I 0.000 0.000 0.500
# * energy above the most stable polymorph in this dataset: 0 kJ/mol of formula units

***

# 2
# Re4MoSe, optimized geometry, DFT GGA-PBE
data_Re4MoSe
_chemical_formula_sum 'Re16 Mo4 Se4'
_space_group_name_H-M_alt 'F -4 3 m'
_space_group_IT_number 216
_space_group_name_Hall 'F -4 2 3'
_cell_length_a 7.363
_cell_length_b 7.363
_cell_length_c 7.363
_cell_angle_alpha 90.00
_cell_angle_beta 90.00
_cell_angle_gamma 90.00
loop_
_atom_site_label
_atom_site_type_symbol
_atom_site_fract_x
_atom_site_fract_y
_atom_site_fract_z
Re1 Re 0.125 0.125 0.125
Mo1 Mo 0.000 0.000 0.500
Se1 Se 0.250 0.250 0.750
# * energy: -9.918 eV/atom

***

# 3
# KLaMg2Ir, optimized geometry, DFT GGA-PBE
data_KLaMg2Ir
_chemical_formula_sum 'K1 La1 Mg2 Ir1'
_space_group_name_H-M_alt 'P 4/m m m'
_space_group_IT_number 123
_space_group_name_Hall '-P 4 2'
_cell_length_a 5.362
_cell_length_b 5.362
_cell_length_c 5.375
_cell_angle_alpha 90.00
_cell_angle_beta 90.00
_cell_angle_gamma 90.00
loop_
_atom_site_label
_atom_site_type_symbol
_atom_site_fract_x
_atom_site_fract_y
_atom_site_fract_z
K1 K 0.000 0.000 0.000
La1 La 0.500 0.500 0.000
Mg1 Mg 0.000 0.500 0.500
Ir1 Ir 0.500 0.500 0.500
# * E_form: -0.219 eV per atom
# * energy above the most stable polymorph in this dataset: 0 kJ/mol of formula units